DFT (PBE) results for crystalline Y2TePb at its relaxed geometry.

Cell and atoms, written as POSCAR:
```
Y2TePb
1.0
5.587 0.000 0.000
0.000 5.587 0.000
0.000 0.000 3.633
Y Te Pb
2 1 1
Cartesian
0.000 2.793 0.000 Y
2.793 0.000 0.000 Y
0.000 0.000 1.816 Te
2.793 2.793 1.816 Pb
```

Offset from the most stable computed form = 0.99 eV/f.u.
Space group = P4/mmm (123)
Calculated density = 7.5 g cm⁻³
Uncorrected formation energy = -0.7415 eV/atom